AlIF6 after structural relaxation. Source: Alexandria, functional PBE-GGA.

a b c (Å): 4.860 5.527 6.245
angles (deg): 55.54 66.23 65.22
Positions (direct):
F 0.157 0.855 0.304
F 0.351 0.842 0.855
F 0.843 0.145 0.696
F 0.872 0.630 0.179
F 0.649 0.158 0.145
F 0.128 0.370 0.821
I 0.500 0.500 0.500
Al 0.000 0.000 0.000

## Properties
ΔE_f (raw) = -2.31 eV per atom

=====

Al2IF2 after structural relaxation. Source: Alexandria, functional PBE-GGA.

a b c (Å): 4.479 4.479 5.930
angles (deg): 67.81 67.81 90.00
Positions (direct):
I 0.000 0.000 0.000
F 0.684 0.684 0.632
F 0.316 0.316 0.368
Al 0.250 0.750 0.500
Al 0.750 0.250 0.500

## Properties
ΔE_f (raw) = -1.03 eV per atom
E above lowest polymorph = 0 meV per atom

=====

Al2IF2 after structural relaxation. Source: Alexandria, functional PBE-GGA.

a b c (Å): 9.110 9.110 2.813
angles (deg): 90.00 90.00 90.00
Positions (direct):
I 0.500 0.500 0.000
I 0.000 0.000 0.000
F 0.410 0.910 0.000
F 0.910 0.590 0.000
F 0.090 0.410 0.000
F 0.590 0.090 0.000
Al 0.116 0.616 0.500
Al 0.384 0.116 0.500
Al 0.616 0.884 0.500
Al 0.884 0.384 0.500

## Properties
ΔE_f (raw) = -0.98 eV per atom
E above lowest polymorph = 53 meV per atom

=====

AlIF after structural relaxation. Source: Alexandria, functional PBE-GGA.

a b c (Å): 5.307 7.197 6.087
angles (deg): 76.06 101.51 79.14
Positions (direct):
I 0.339 0.712 0.099
I 0.885 0.312 0.759
F 0.322 0.009 0.547
F 0.850 0.909 0.555
Al 0.514 0.093 0.304
Al 0.100 0.981 0.724

## Properties
ΔE_f (raw) = -1.59 eV per atom

=====

AlI2F after structural relaxation. Source: Alexandria, functional PBE-GGA.

a b c (Å): 4.998 4.998 4.998
angles (deg): 60.00 60.00 60.00
Positions (direct):
F 0.000 0.000 0.000
I 0.250 0.250 0.250
I 0.750 0.750 0.750
Al 0.500 0.500 0.500

## Properties
ΔE_f (raw) = -0.32 eV per atom
E above lowest polymorph = 338 meV per atom

=====

AlI2F after structural relaxation. Source: Alexandria, functional PBE-GGA.

a b c (Å): 7.160 7.160 6.632
angles (deg): 57.33 57.33 90.00
Positions (direct):
Al 0.000 0.000 0.000
Al 0.750 0.250 0.500
I 0.653 0.125 0.250
I 0.375 0.347 0.750
I 0.097 0.625 0.250
I 0.875 0.903 0.750
F 0.500 0.500 0.000
F 0.250 0.750 0.500

## Properties
ΔE_f (raw) = -0.66 eV per atom
E above lowest polymorph = 0 meV per atom

=====

NbAlI2F after structural relaxation. Source: Alexandria, functional PBE-GGA.

a b c (Å): 5.332 5.333 5.332
angles (deg): 90.00 90.00 90.00
Positions (direct):
I 0.000 0.000 0.500
I 0.500 0.000 0.000
F 0.500 0.500 0.500
Al 0.000 0.500 0.000
Nb 0.000 0.000 0.000

## Properties
ΔE_f (raw) = -0.05 eV per atom

=====

AlI2OF after structural relaxation. Source: Alexandria, functional PBE-GGA.

a b c (Å): 5.882 5.882 3.313
angles (deg): 90.00 90.00 90.00
Site moments in Bohr magnetons follow the coordinates.
Positions (direct):
O 0.000 0.000 0.500  0.00
F 0.500 0.500 0.500  -0.36
I 0.500 0.000 0.000  -0.09
I 0.000 0.500 0.000  -0.09
Al 0.000 0.000 0.000  0.00

## Properties
ΔE_f (raw) = -0.88 eV per atom
E above lowest polymorph = 0 meV per atom